Computed, not measured: a relaxed ZnNiTe2 crystal at the PBE level of DFT.

## Properties
* crystal system: monoclinic
* E above lowest polymorph: 143 meV per atom
* E_form (uncorrected): -0.0553 eV per atom
* SG: P2/m (10)

Lattice parameters (Å, degrees): 3.9112 6.7841 5.5391 35.12 90.00 90.00
Positions (direct):
Ni 0.0000 0.0000 0.5000
Te 0.0000 0.0000 0.0000
Te 0.5000 0.5000 0.0000
Zn 0.5000 0.5000 0.5000